# TaFe2Tc

An optimized crystal structure of TaFe2Tc (PBE, Alexandria via LeMat-Bulk).

Results
For the relative energy among the computed polymorphs, the calculation gives 32.9 meV/atom.

Cell and atoms, written as CIF:
```
data_TaFe2Tc
_chemical_formula_sum 'Ta2 Fe4 Tc2'
_space_group_name_H-M_alt 'I m m m'
_space_group_IT_number 71
_space_group_name_Hall '-I 2 2'
_cell_length_a 3.141
_cell_length_b 4.215
_cell_length_c 8.520
_cell_angle_alpha 90.00
_cell_angle_beta 90.00
_cell_angle_gamma 90.00
loop_
_atom_site_label
_atom_site_fract_x
_atom_site_fract_y
_atom_site_fract_z
Ta1 0.000 0.000 0.000
Fe1 0.000 0.500 0.247
Tc1 0.000 0.000 0.500
```

# Ga6IrPt2

An optimized crystal structure of Ga6IrPt2 (PBE, Alexandria via LeMat-Bulk).

Results
The total energy comes out at -4.717 eV per atom.

Cell and atoms, written as CIF:
```
data_Ga6IrPt2
_chemical_formula_sum 'Ga12 Ir2 Pt4'
_space_group_name_H-M_alt 'P 1 21/c 1'
_space_group_IT_number 14
_space_group_name_Hall '-P 2ybc'
_cell_length_a 6.060
_cell_length_b 6.740
_cell_length_c 8.491
_cell_angle_alpha 90.00
_cell_angle_beta 116.59
_cell_angle_gamma 90.00
loop_
_atom_site_label
_atom_site_fract_x
_atom_site_fract_y
_atom_site_fract_z
Ga1 0.038 0.154 0.415
Ga2 0.342 0.681 0.459
Ga3 0.403 0.509 0.790
Ir1 0.000 0.000 0.000
Pt1 0.229 0.136 0.758
```

# Tb2Dy6HoMg

An optimized crystal structure of Tb2Dy6HoMg (PBE, Alexandria via LeMat-Bulk).

Results
The total energy comes out at -4.193 eV per atom.

Cell and atoms, written as CIF:
```
data_Tb2Dy6HoMg
_chemical_formula_sum 'Tb8 Dy24 Ho4 Mg4'
_space_group_name_H-M_alt 'C 1 2/c 1'
_space_group_IT_number 15
_space_group_name_Hall '-C 2yc'
_cell_length_a 9.904
_cell_length_b 19.442
_cell_length_c 6.578
_cell_angle_alpha 90.00
_cell_angle_beta 99.44
_cell_angle_gamma 90.00
loop_
_atom_site_label
_atom_site_fract_x
_atom_site_fract_y
_atom_site_fract_z
Tb1 0.236 0.083 0.497
Dy1 0.061 0.354 0.031
Dy2 0.115 0.085 0.981
Dy3 0.176 0.240 0.721
Ho1 0.000 0.492 0.750
Mg1 0.000 0.206 0.250
```

# CaNdEuGa

An optimized crystal structure of CaNdEuGa (PBE, Alexandria via LeMat-Bulk).

Results
The total energy comes out at -5.125 eV per atom.

Cell and atoms, written as CIF:
```
data_CaNdEuGa
_chemical_formula_sum 'Ca4 Nd4 Eu4 Ga4'
_space_group_name_H-M_alt 'F -4 3 m'
_space_group_IT_number 216
_space_group_name_Hall 'F -4 2 3'
_cell_length_a 7.849
_cell_length_b 7.849
_cell_length_c 7.849
_cell_angle_alpha 90.00
_cell_angle_beta 90.00
_cell_angle_gamma 90.00
loop_
_atom_site_label
_atom_site_fract_x
_atom_site_fract_y
_atom_site_fract_z
Ca1 0.000 0.000 0.000
Nd1 0.250 0.250 0.250
Eu1 0.250 0.250 0.750
Ga1 0.000 0.000 0.500
```

# LiMg2Br

An optimized crystal structure of LiMg2Br (PBE, Alexandria via LeMat-Bulk).

Results
For the formation energy without anion corrections, the calculation gives 102 meV/atom. For the relative energy among the computed polymorphs, the calculation gives 563.1 meV/atom.

Cell and atoms, written as CIF:
```
data_LiMg2Br
_chemical_formula_sum 'Li4 Mg8 Br4'
_space_group_name_H-M_alt 'F m -3 m'
_space_group_IT_number 225
_space_group_name_Hall '-F 4 2 3'
_cell_length_a 7.674
_cell_length_b 7.674
_cell_length_c 7.674
_cell_angle_alpha 90.00
_cell_angle_beta 90.00
_cell_angle_gamma 90.00
loop_
_atom_site_label
_atom_site_fract_x
_atom_site_fract_y
_atom_site_fract_z
Li1 0.000 0.000 0.000
Mg1 0.250 0.250 0.250
Br1 0.000 0.000 0.500
```

# SrPm2Ag

An optimized crystal structure of SrPm2Ag (PBE, Alexandria via LeMat-Bulk).

Results
For the relative energy among the computed polymorphs, the calculation gives 0.0 meV/atom.

Cell and atoms, written as CIF:
```
data_SrPm2Ag
_chemical_formula_sum 'Sr1 Pm2 Ag1'
_space_group_name_H-M_alt 'P 4/m m m'
_space_group_IT_number 123
_space_group_name_Hall '-P 4 2'
_cell_length_a 3.802
_cell_length_b 3.802
_cell_length_c 9.597
_cell_angle_alpha 90.00
_cell_angle_beta 90.00
_cell_angle_gamma 90.00
loop_
_atom_site_label
_atom_site_fract_x
_atom_site_fract_y
_atom_site_fract_z
Sr1 0.000 0.000 0.000
Pm1 0.500 0.500 0.318
Ag1 0.000 0.000 0.500
```

# Ni2H2Rh

An optimized crystal structure of Ni2H2Rh (PBE, Alexandria via LeMat-Bulk).

Results
For the relative energy among the computed polymorphs, the calculation gives 0.0 meV/atom.

Cell and atoms, written as CIF:
```
data_Ni2H2Rh
_chemical_formula_sum 'Ni8 H8 Rh4'
_space_group_name_H-M_alt 'C 1 2/c 1'
_space_group_IT_number 15
_space_group_name_Hall '-C 2yc'
_cell_length_a 4.680
_cell_length_b 7.960
_cell_length_c 4.684
_cell_angle_alpha 90.00
_cell_angle_beta 110.63
_cell_angle_gamma 90.00
loop_
_atom_site_label
_atom_site_fract_x
_atom_site_fract_y
_atom_site_fract_z
Ni1 0.000 0.084 0.250
Ni2 0.000 0.248 0.750
H1 0.240 0.085 0.998
Rh1 0.000 0.410 0.250
```

# Co2PbW

An optimized crystal structure of Co2PbW (PBE, Alexandria via LeMat-Bulk).

Results
The total energy comes out at -6.915 eV per atom.

Cell and atoms, written as CIF:
```
data_Co2PbW
_chemical_formula_sum 'Co2 Pb1 W1'
_space_group_name_H-M_alt 'P 1 2/m 1'
_space_group_IT_number 10
_space_group_name_Hall '-P 2y'
_cell_length_a 4.576
_cell_length_b 2.939
_cell_length_c 4.993
_cell_angle_alpha 90.00
_cell_angle_beta 111.39
_cell_angle_gamma 90.00
loop_
_atom_site_label
_atom_site_fract_x
_atom_site_fract_y
_atom_site_fract_z
Co1 0.000 0.000 0.000
Co2 0.000 0.500 0.500
Pb1 0.500 0.000 0.500
W1 0.500 0.500 0.000
```

# SbTeAs2

An optimized crystal structure of SbTeAs2 (PBE, Alexandria via LeMat-Bulk).

Results
For the formation energy without anion corrections, the calculation gives 276 meV/atom. For the relative energy among the computed polymorphs, the calculation gives 205.5 meV/atom.

Cell and atoms, written as CIF:
```
data_SbTeAs2
_chemical_formula_sum 'Sb2 Te2 As4'
_space_group_name_H-M_alt 'I m m 2'
_space_group_IT_number 44
_space_group_name_Hall 'I 2 -2'
_cell_length_a 3.748
_cell_length_b 4.847
_cell_length_c 10.919
_cell_angle_alpha 90.00
_cell_angle_beta 90.00
_cell_angle_gamma 90.00
loop_
_atom_site_label
_atom_site_fract_x
_atom_site_fract_y
_atom_site_fract_z
Sb1 0.000 0.000 0.000
Te1 0.000 0.500 0.178
As1 0.000 0.000 0.430
As2 0.000 0.500 0.763
```

# LaGe4Au12

An optimized crystal structure of LaGe4Au12 (PBE, Alexandria via LeMat-Bulk).

Results
The total energy comes out at -3.715 eV per atom.

Cell and atoms, written as CIF:
```
data_LaGe4Au12
_chemical_formula_sum 'La2 Ge8 Au24'
_space_group_name_H-M_alt 'I m -3'
_space_group_IT_number 204
_space_group_name_Hall '-I 2 2 3'
_cell_length_a 9.064
_cell_length_b 9.064
_cell_length_c 9.064
_cell_angle_alpha 90.00
_cell_angle_beta 90.00
_cell_angle_gamma 90.00
loop_
_atom_site_label
_atom_site_fract_x
_atom_site_fract_y
_atom_site_fract_z
La1 0.000 0.000 0.000
Ge1 0.250 0.250 0.250
Au1 0.000 0.344 0.154
```

# Na3GeI6

An optimized crystal structure of Na3GeI6 (PBE, Alexandria via LeMat-Bulk).

Results
For the formation energy without anion corrections, the calculation gives -682 meV/atom.

Cell and atoms, written as CIF:
```
data_Na3GeI6
_chemical_formula_sum 'Na12 Ge4 I24'
_space_group_name_H-M_alt 'F m m m'
_space_group_IT_number 69
_space_group_name_Hall '-F 2 2'
_cell_length_a 10.218
_cell_length_b 11.588
_cell_length_c 14.858
_cell_angle_alpha 90.00
_cell_angle_beta 90.00
_cell_angle_gamma 90.00
loop_
_atom_site_label
_atom_site_fract_x
_atom_site_fract_y
_atom_site_fract_z
Na1 0.000 0.000 0.000
Na2 0.250 0.250 0.250
Ge1 0.000 0.000 0.500
I1 0.000 0.249 0.500
I2 0.198 0.000 0.361
```

# LiGe2W2

An optimized crystal structure of LiGe2W2 (PBE, Alexandria via LeMat-Bulk).

Results
The total energy comes out at -7.190 eV per atom.

Cell and atoms, written as CIF:
```
data_LiGe2W2
_chemical_formula_sum 'Li2 Ge4 W4'
_space_group_name_H-M_alt 'P 4/m b m'
_space_group_IT_number 127
_space_group_name_Hall '-P 4 2ab'
_cell_length_a 6.691
_cell_length_b 6.691
_cell_length_c 3.432
_cell_angle_alpha 90.00
_cell_angle_beta 90.00
_cell_angle_gamma 90.00
loop_
_atom_site_label
_atom_site_fract_x
_atom_site_fract_y
_atom_site_fract_z
Li1 0.000 0.000 0.000
Ge1 0.142 0.358 0.000
W1 0.159 0.659 0.500
```

Repeat the second record exactly.
# Ga6IrPt2

An optimized crystal structure of Ga6IrPt2 (PBE, Alexandria via LeMat-Bulk).

Results
The total energy comes out at -4.717 eV per atom.

Cell and atoms, written as CIF:
```
data_Ga6IrPt2
_chemical_formula_sum 'Ga12 Ir2 Pt4'
_space_group_name_H-M_alt 'P 1 21/c 1'
_space_group_IT_number 14
_space_group_name_Hall '-P 2ybc'
_cell_length_a 6.060
_cell_length_b 6.740
_cell_length_c 8.491
_cell_angle_alpha 90.00
_cell_angle_beta 116.59
_cell_angle_gamma 90.00
loop_
_atom_site_label
_atom_site_fract_x
_atom_site_fract_y
_atom_site_fract_z
Ga1 0.038 0.154 0.415
Ga2 0.342 0.681 0.459
Ga3 0.403 0.509 0.790
Ir1 0.000 0.000 0.000
Pt1 0.229 0.136 0.758
```

- What is the formula in the sixth record?
  SrPm2Ag